[1]
The following is a GGA-PBE calculation of a relaxed structure of BaMg4Au, from the Alexandria database.

Output
Space group: No. 216
ΔE to the lowest computed polymorph (meV per atom): 296
DFT formation energy (eV per atom): -0.019

Lattice parameters (Å, degrees): 6.084 6.084 6.084 60.00 60.00 60.00
Sites, in units of the cell vectors:
Au 0.750 0.750 0.750
Mg 0.377 0.377 0.870
Mg 0.377 0.377 0.377
Mg 0.870 0.377 0.377
Mg 0.377 0.870 0.377
Ba 0.000 0.000 0.000


[2]
The following is a GGA-PBE calculation of a relaxed structure of Cs2NpInF6, from the Alexandria database.

Output
Space group: No. 14
Energy (eV per atom): -5.67

Lattice parameters (Å, degrees): 6.965 6.997 9.834 90.00 90.11 90.00
Last column: magnetic moment on the atom in μB.
Sites, in units of the cell vectors:
F 0.188 0.237 0.044  -0.01
F 0.688 0.263 0.544  -0.01
F 0.737 0.307 0.965  -0.01
F 0.426 0.973 0.727  -0.01
F 0.263 0.693 0.035  -0.01
F 0.237 0.193 0.465  -0.01
F 0.312 0.737 0.456  -0.01
F 0.574 0.027 0.273  -0.01
F 0.763 0.807 0.535  -0.01
F 0.926 0.527 0.227  -0.01
F 0.074 0.473 0.773  -0.01
F 0.812 0.763 0.956  -0.01
Cs 0.506 0.530 0.751  0.00
Cs 0.994 0.030 0.749  0.00
Cs 0.494 0.470 0.249  0.00
Cs 0.006 0.970 0.251  0.00
Np 0.500 0.000 0.500  3.97
Np 0.000 0.500 0.000  3.97
In 0.000 0.500 0.500  0.00
In 0.500 0.000 0.000  0.00


[3]
The following is a GGA-PBE calculation of a relaxed structure of Sc2SiNi, from the Alexandria database.

Output
Space group: No. 99
Energy (eV per atom): -6.36

Lattice parameters (Å, degrees): 3.028 3.028 7.524 90.00 90.00 90.00
Sites, in units of the cell vectors:
Sc 0.000 0.000 0.945
Sc 0.500 0.500 0.301
Ni 0.500 0.500 0.699
Si 0.000 0.000 0.554


| no. | magnetization (μB per cell) |
| --- | --- |
| 1 | 0.000 |
| 2 | 8.001 |
| 3 | 0.000 |